Material: AcTb3Pm2Sm6
Method: DFT, PBE
State: optimized geometry

```
12
Lattice="-1.0584 1.8629 5.9440 2.1080 -5.8442 -1.1503 10.8699 5.2236 -0.8232" Properties=species:S:1:pos:R:3 pbc="T T T"
Ac 0.0000 0.0000 0.0000
Tb 7.0139 -1.9448 -0.3767
Tb 4.9055 3.1871 4.3472
Tb 5.9597 0.6211 1.9852
Pm 1.0522 -3.2745 1.2151
Pm -0.0027 -0.7069 3.5786
Sm 8.3448 2.2114 4.1551
Sm 3.5677 -1.6511 3.3861
Sm 3.5746 -0.9691 -0.1846
Sm 9.4076 -0.3755 1.7740
Sm 8.3518 2.8934 0.5844
Sm 2.5118 1.6178 2.1965
```

Output
Symmetry: C2/m (12)
Total moment: 0.00 Bohr magnetons per cell
Final energy: -55.508 eV for the cell shown
E_form: 0.3 eV/f.u.


Material: AcTbPmSm
Method: DFT, PBE
State: optimized geometry

```
4
Lattice="5.8940 0.0000 0.0000 2.9470 5.1044 0.0000 2.9470 1.7015 4.8124" Properties=species:S:1:pos:R:3 pbc="T T T"
Ac 5.8940 3.4029 2.4062
Tb 8.8410 5.1044 3.6093
Sm 2.9470 1.7015 1.2031
Pm 0.0000 0.0000 0.0000
```

Output
Symmetry: F-43m (216)
Distance to the lowest polymorph of the same formula: 0.000 eV per formula unit
Total moment: 0.00 Bohr magnetons per cell
Final energy: -17.672 eV for the cell shown
E_form: 0.5 eV/f.u.


Copy entry 2 word for word.
Material: AcTbPmSm
Method: DFT, PBE
State: optimized geometry

```
4
Lattice="5.8940 0.0000 0.0000 2.9470 5.1044 0.0000 2.9470 1.7015 4.8124" Properties=species:S:1:pos:R:3 pbc="T T T"
Ac 5.8940 3.4029 2.4062
Tb 8.8410 5.1044 3.6093
Sm 2.9470 1.7015 1.2031
Pm 0.0000 0.0000 0.0000
```

Output
Symmetry: F-43m (216)
Distance to the lowest polymorph of the same formula: 0.000 eV per formula unit
Total moment: 0.00 Bohr magnetons per cell
Final energy: -17.672 eV for the cell shown
E_form: 0.5 eV/f.u.